No. 1
{
  "formula": "Th4BiSb",
  "functional": "PBE",
  "state": "optimized geometry",
  "lattice": [[5.020, -6.866, 0.000], [5.020, 6.866, 0.000], [-4.937, 0.000, 5.662]],
  "species": ["Th", "Th", "Th", "Th", "Th", "Th", "Th", "Th", "Bi", "Bi", "Sb", "Sb"],
  "fractional_positions": [[0.006, 0.629, 0.735], [0.145, 0.272, 0.804], [0.272, 0.145, 0.304], [0.371, 0.994, 0.765], [0.629, 0.006, 0.235], [0.728, 0.855, 0.696], [0.855, 0.728, 0.196], [0.994, 0.371, 0.265], [0.278, 0.722, 0.250], [0.722, 0.278, 0.750], [0.414, 0.586, 0.750], [0.586, 0.414, 0.250]],
  "raw_formation_energy_mev_per_atom": -331
}



No. 2
{
  "formula": "Th2BiSb",
  "functional": "PBE",
  "state": "optimized geometry",
  "lattice": [[2.188, 1.263, 8.100], [-2.188, 1.263, 8.100], [0.000, -2.526, 8.100]],
  "species": ["Th", "Th", "Bi", "Sb"],
  "fractional_positions": [[0.000, 0.000, 0.000], [0.168, 0.168, 0.168], [0.583, 0.583, 0.583], [0.751, 0.751, 0.751]],
  "raw_formation_energy_mev_per_atom": -662
}



No. 3
{
  "formula": "Th2Bi3Sb",
  "functional": "PBE",
  "state": "optimized geometry",
  "lattice": [[4.511, 0.000, 0.000], [0.000, 4.511, 0.000], [0.000, 0.000, 9.364]],
  "species": ["Th", "Th", "Bi", "Bi", "Bi", "Sb"],
  "fractional_positions": [[0.000, 0.500, 0.227], [0.500, 0.000, 0.773], [0.000, 0.500, 0.866], [0.500, 0.000, 0.134], [0.500, 0.500, 0.500], [0.000, 0.000, 0.500]],
  "raw_formation_energy_mev_per_atom": -581
}



No. 4
{
  "formula": "ThBiSb2",
  "functional": "PBE",
  "state": "optimized geometry",
  "lattice": [[4.170, 0.000, 0.000], [0.000, 4.170, 0.000], [0.000, 0.000, 6.731]],
  "species": ["Th", "Bi", "Sb", "Sb"],
  "fractional_positions": [[0.000, 0.000, 0.000], [0.000, 0.000, 0.500], [0.500, 0.500, 0.233], [0.500, 0.500, 0.767]],
  "polymorph_energy_ev_per_atom": 0.049,
  "raw_formation_energy_mev_per_atom": -401
}



No. 5
{
  "formula": "ThBiSb2",
  "functional": "PBE",
  "state": "optimized geometry",
  "lattice": [[1.747, 1.009, 11.702], [-1.747, 1.009, 11.702], [0.000, -2.017, 11.702]],
  "species": ["Th", "Bi", "Sb", "Sb"],
  "fractional_positions": [[0.000, 0.000, 0.000], [0.500, 0.500, 0.500], [0.409, 0.409, 0.409], [0.591, 0.591, 0.591]],
  "polymorph_energy_ev_per_atom": 0.314,
  "raw_formation_energy_mev_per_atom": -136
}



No. 6
{
  "formula": "Th2BiSb3",
  "functional": "PBE",
  "state": "optimized geometry",
  "lattice": [[4.464, 0.000, 0.000], [0.000, 4.464, 0.000], [0.000, 0.000, 9.196]],
  "species": ["Th", "Th", "Bi", "Sb", "Sb", "Sb"],
  "fractional_positions": [[0.000, 0.500, 0.217], [0.500, 0.000, 0.783], [0.000, 0.000, 0.500], [0.000, 0.500, 0.862], [0.500, 0.000, 0.138], [0.500, 0.500, 0.500]],
  "raw_formation_energy_mev_per_atom": -728
}



No. 7
{
  "formula": "Th2BiSb",
  "functional": "PBE",
  "state": "optimized geometry",
  "lattice": [[0.000, 3.905, 3.905], [3.905, 0.000, 3.905], [3.905, 3.905, 0.000]],
  "species": ["Th", "Th", "Bi", "Sb"],
  "fractional_positions": [[0.250, 0.250, 0.250], [0.750, 0.750, 0.750], [0.000, 0.000, 0.000], [0.500, 0.500, 0.500]],
  "raw_formation_energy_mev_per_atom": -665
}



No. 8
{
  "formula": "Th8BiSb5",
  "functional": "PBE",
  "state": "optimized geometry",
  "lattice": [[-4.766, 4.766, 4.765], [4.766, -4.766, 4.765], [4.766, 4.766, -4.765]],
  "species": ["Th", "Th", "Th", "Th", "Th", "Th", "Th", "Th", "Bi", "Sb", "Sb", "Sb", "Sb", "Sb"],
  "fractional_positions": [[0.026, 0.126, 0.756], [0.236, 0.482, 0.605], [0.369, 0.764, 0.246], [0.370, 0.270, 0.244], [0.518, 0.123, 0.754], [0.730, 0.974, 0.099], [0.874, 0.630, 0.901], [0.877, 0.631, 0.395], [0.750, 0.250, 0.500], [0.129, 0.004, 0.378], [0.249, 0.871, 0.875], [0.500, 0.500, 0.000], [0.626, 0.751, 0.622], [0.996, 0.374, 0.125]],
  "raw_formation_energy_mev_per_atom": -713
}